w:
This record from the Alexandria database describes a relaxed In2ReRu crystal. The functional is PBE-GGA.

It has space group P4mm (No. 99), with a = 2.954 Å, b = 2.954 Å, c = 8.602 Å, α = 90.00°, β = 90.00° and γ = 90.00°. Symmetry generates all atoms from In at (0.000, 0.000, 0.000), In at (0.500, 0.500, 0.336), Re at (0.000, 0.000, 0.582) and Ru at (0.500, 0.500, 0.762).

The calculation puts the density of states at the Fermi level at 4.5 states/eV per cell. As for the total magnetization: 0.00 μB per cell.

x:
This record from the Alexandria database describes a relaxed In2ReRu crystal. The functional is PBE-GGA.

It has space group Cm (No. 8), with a = 10.395 Å, b = 2.952 Å, c = 4.948 Å, α = 90.00°, β = 110.96° and γ = 90.00°. Symmetry generates all atoms from In at (0.000, 0.000, 0.000), In at (0.213, 0.000, 0.614), Re at (0.257, 0.500, 0.134) and Ru at (0.458, 0.000, 0.486).

The calculation puts the density of states at the Fermi level at 7.8 states/eV per cell. As for the total magnetization: 0.00 μB per cell.

The structure with the greatest stability is w.

w:
This record from the Alexandria database describes a relaxed InReS3 crystal. The functional is PBE-GGA.

It has space group Pm-3m (No. 221), with a = 4.702 Å, b = 4.702 Å, c = 4.702 Å, α = 90.00°, β = 90.00° and γ = 90.00°. Symmetry generates all atoms from In at (0.000, 0.000, 0.000), Re at (0.500, 0.500, 0.500) and S at (0.000, 0.500, 0.500).

The calculation puts the density of states at the Fermi level at 2.6 states/eV per cell. As for the total magnetization: 0.00 μB per cell.

x:
This record from the Alexandria database describes a relaxed InReS3 crystal. The functional is PBE-GGA.

It has space group Pm-3m (No. 221), with a = 4.948 Å, b = 4.948 Å, c = 4.948 Å, α = 90.00°, β = 90.00° and γ = 90.00°. Symmetry generates all atoms from In at (0.000, 0.000, 0.000), Re at (0.500, 0.500, 0.500) and S at (0.000, 0.000, 0.500).

The calculation puts the density of states at the Fermi level at 4.2 states/eV per cell. As for the total magnetization: 3.94 μB per cell.

The structure with the greatest stability is w.

w:
This record from the Alexandria database describes a relaxed InRe2S2 crystal. The functional is PBE-GGA.

It has space group P4/mbm (No. 127), with a = 7.788 Å, b = 7.788 Å, c = 2.867 Å, α = 90.00°, β = 90.00° and γ = 90.00°. Symmetry generates all atoms from In at (0.000, 0.000, 0.000), Re at (0.124, 0.376, 0.500) and S at (0.130, 0.630, 0.000).

The calculation puts the density of states at the Fermi level at 8.8 states/eV per cell. As for the total magnetization: 0.00 μB per cell.

x:
This record from the Alexandria database describes a relaxed InRe2S2 crystal. The functional is PBE-GGA.

It has space group I4/mmm (No. 139), with a = 3.965 Å, b = 3.965 Å, c = 12.859 Å, α = 90.00°, β = 90.00° and γ = 90.00°. Symmetry generates all atoms from In at (0.000, 0.000, 0.000), Re at (0.000, 0.500, 0.250) and S at (0.000, 0.000, 0.351).

The calculation puts the density of states at the Fermi level at 3.8 states/eV per cell. As for the total magnetization: 0.00 μB per cell.

The structure with the greatest stability is x.

w:
This record from the Alexandria database describes a relaxed In3ReS crystal. The functional is PBE-GGA.

It has space group Pm-3m (No. 221), with a = 5.109 Å, b = 5.109 Å, c = 5.109 Å, α = 90.00°, β = 90.00° and γ = 90.00°. Symmetry generates all atoms from In at (0.000, 0.000, 0.500), Re at (0.500, 0.500, 0.500) and S at (0.000, 0.000, 0.000).

The calculation puts the density of states at the Fermi level at 5.4 states/eV per cell. As for the total magnetization: 3.09 μB per cell.

x:
This record from the Alexandria database describes a relaxed In3ReS crystal. The functional is PBE-GGA.

It has space group Pm-3m (No. 221), with a = 5.254 Å, b = 5.254 Å, c = 5.254 Å, α = 90.00°, β = 90.00° and γ = 90.00°. Symmetry generates all atoms from In at (0.000, 0.000, 0.500), Re at (0.000, 0.000, 0.000) and S at (0.500, 0.500, 0.500).

The calculation puts the density of states at the Fermi level at 7.8 states/eV per cell. As for the total magnetization: 2.05 μB per cell.

The structure with the greatest stability is x.